La3Ni2Sn3Pt | PBE-GGA | optimized geometry

Cell: 7.5546 7.5546 4.1948 Å, 90.00 90.00 120.00°
Closest atoms and distances in Å follow each position.
Fractional coordinates of all 9 atoms:
La: 0.0000 0.5832 0.0000  4 Ni 3.09, 1 Pt 3.15, 6 Sn 3.25-3.46
La: 0.4168 0.4168 0.0000  4 Ni 3.09, 1 Pt 3.15, 6 Sn 3.25-3.46
La: 0.5832 0.0000 0.0000  4 Ni 3.09, 1 Pt 3.15, 6 Sn 3.25-3.46
Ni: 0.3333 0.6667 0.5000  3 Sn 2.86, 6 La 3.09
Ni: 0.6667 0.3333 0.5000  3 Sn 2.86, 6 La 3.09
Sn: 0.0000 0.2543 0.5000  2 Pt 2.84, 2 Ni 2.86
Sn: 0.2543 0.0000 0.5000  2 Pt 2.84, 2 Ni 2.86
Sn: 0.7457 0.7457 0.5000  2 Pt 2.84, 2 Ni 2.86
Pt: 0.0000 0.0000 0.0000  6 Sn 2.84, 3 La 3.15

Summary:
* size of the total moment: 0.0 Bohr magnetons per cell
* final energy: -50.914 eV per cell
* space-group type: P-62m (189)